Entry 1:
Computed, not measured: a PBEsol-optimized structure of HSBr2 at the meta-GGA SCAN level of DFT.

abc: 6.3992 6.3992 6.9145
angles: 90.00 90.00 90.00
Sites, in units of the cell vectors:
H  0.0000  0.0000  0.0000
H  0.0000  0.5000  0.2500
H  0.5000  0.0000  0.7500
H  0.5000  0.5000  0.5000
S  0.0000  0.0000  0.5000
S  0.0000  0.5000  0.7500
S  0.5000  0.0000  0.2500
S  0.5000  0.5000  0.0000
Br  0.1868  0.7500  0.1250
Br  0.2500  0.1868  0.8750
Br  0.2500  0.3132  0.3750
Br  0.3132  0.7500  0.6250
Br  0.6868  0.2500  0.6250
Br  0.7500  0.6868  0.3750
Br  0.7500  0.8132  0.8750
Br  0.8132  0.2500  0.1250

Values from the calculation:
Space-group type   No. 122
Crystal system   tetragonal
Uncorrected energy   -48.4 eV/f.u.
D(E_F)   3.566 states/eV/f.u.



Entry 2:
Computed, not measured: a PBEsol-optimized structure of RbLi3Bi at the meta-GGA SCAN level of DFT.

abc: 5.4643 5.4643 5.4643
angles: 90.00 90.00 90.00
Sites, in units of the cell vectors:
Rb  0.0000  0.0000  0.0000
Li  0.0000  0.5000  0.5000
Li  0.5000  0.0000  0.5000
Li  0.5000  0.5000  0.0000
Bi  0.5000  0.5000  0.5000

Values from the calculation:
Space-group type   No. 221
Crystal system   cubic
Formation energy from the elements   -273 meV/atom
D(E_F)   1.888 states/eV/f.u.



Entry 3:
Computed, not measured: a PBEsol-optimized structure of Si3BiSe at the meta-GGA SCAN level of DFT.

abc: 5.3082 5.3082 5.3082
angles: 90.00 90.00 90.00
Sites, in units of the cell vectors:
Si  0.0000  0.0000  0.5000
Si  0.0000  0.5000  0.0000
Si  0.5000  0.0000  0.0000
Bi  0.0000  0.0000  0.0000
Se  0.5000  0.5000  0.5000

Values from the calculation:
Space-group type   No. 221
Crystal system   cubic
E_form (uncorrected)   1770.0 meV per atom
D(E_F)   5.233 states/eV/f.u.



Entry 4:
Computed, not measured: a PBEsol-optimized structure of CrRe2Se at the meta-GGA SCAN level of DFT.

abc: 2.9059 2.9059 6.5256
angles: 90.00 90.00 90.00
Sites, in units of the cell vectors:
Cr  0.0000  0.0000  0.0000
Re  0.0000  0.0000  0.5181
Re  0.5000  0.5000  0.2615
Se  0.5000  0.5000  0.7922

Values from the calculation:
Relative energy among the computed polymorphs   0 meV per atom
Space-group type   No. 99
Crystal system   tetragonal
E_form (uncorrected)   255.1 meV per atom
D(E_F)   2.267 states/eV/f.u.



Entry 5:
Computed, not measured: a PBEsol-optimized structure of BaTaTe2 at the meta-GGA SCAN level of DFT.

abc: 4.3723 4.3723 21.4087
angles: 90.00 90.00 120.00
Sites, in units of the cell vectors:
Ba  0.0000  0.0000  0.0000
Ba  0.3333  0.6667  0.6667
Ba  0.6667  0.3333  0.3333
Ta  0.0000  0.0000  0.5000
Ta  0.3333  0.6667  0.1667
Ta  0.6667  0.3333  0.8333
Te  0.0000  0.0000  0.2294
Te  0.0000  0.0000  0.7706
Te  0.3333  0.6667  0.4372
Te  0.3333  0.6667  0.8961
Te  0.6667  0.3333  0.1039
Te  0.6667  0.3333  0.5628

Values from the calculation:
Relative energy among the computed polymorphs   0 meV per atom
Space-group type   No. 166
Crystal system   trigonal
E_form (uncorrected)   -590.6 meV per atom
D(E_F)   2.653 states/eV/f.u.



Entry 6:
Computed, not measured: a PBEsol-optimized structure of Ta2Fe at the meta-GGA SCAN level of DFT.

abc: 2.8005 2.8005 23.7716
angles: 90.00 90.00 90.00
Sites, in units of the cell vectors:
Ta  0.0000  0.2500  0.3045
Ta  0.0000  0.2500  0.4455
Ta  0.0000  0.7500  0.5545
Ta  0.0000  0.7500  0.6955
Ta  0.5000  0.2500  0.0545
Ta  0.5000  0.2500  0.1955
Ta  0.5000  0.7500  0.8045
Ta  0.5000  0.7500  0.9455
Fe  0.0000  0.2500  0.8750
Fe  0.0000  0.7500  0.1250
Fe  0.5000  0.2500  0.6250
Fe  0.5000  0.7500  0.3750

Values from the calculation:
Space-group type   No. 141
Crystal system   tetragonal
Formation energy from the elements   311 meV/atom
D(E_F)   3.901 states/eV/f.u.



Entry 7:
Computed, not measured: a PBEsol-optimized structure of LiIr3C at the meta-GGA SCAN level of DFT.

abc: 4.0100 4.0100 4.0100
angles: 90.00 90.00 90.00
Sites, in units of the cell vectors:
Li  0.0000  0.0000  0.0000
Ir  0.0000  0.5000  0.5000
Ir  0.5000  0.0000  0.5000
Ir  0.5000  0.5000  0.0000
C  0.5000  0.5000  0.5000

Values from the calculation:
Relative energy among the computed polymorphs   0 meV per atom
Space-group type   No. 221
Crystal system   cubic
Formation energy from the elements   213 meV/atom
D(E_F)   1.463 states/eV/f.u.



Entry 8:
Computed, not measured: a PBEsol-optimized structure of LaPrTl2 at the meta-GGA SCAN level of DFT.

abc: 7.7710 7.7710 7.7710
angles: 90.00 90.00 90.00
Sites, in units of the cell vectors:
La  0.0000  0.0000  0.0000
La  0.0000  0.5000  0.5000
La  0.5000  0.0000  0.5000
La  0.5000  0.5000  0.0000
Pr  0.0000  0.0000  0.5000
Pr  0.0000  0.5000  0.0000
Pr  0.5000  0.0000  0.0000
Pr  0.5000  0.5000  0.5000
Tl  0.2500  0.2500  0.2500
Tl  0.2500  0.2500  0.7500
Tl  0.2500  0.7500  0.2500
Tl  0.2500  0.7500  0.7500
Tl  0.7500  0.2500  0.2500
Tl  0.7500  0.2500  0.7500
Tl  0.7500  0.7500  0.2500
Tl  0.7500  0.7500  0.7500

Values from the calculation:
Space-group type   No. 225
Crystal system   cubic
Formation energy from the elements   -626 meV/atom
D(E_F)   3.256 states/eV/f.u.



Entry 9:
Computed, not measured: a PBEsol-optimized structure of K2CoH4I4O14 at the meta-GGA SCAN level of DFT.

abc: 7.9737 7.5595 11.0675
angles: 90.00 90.54 90.00
Sites, in units of the cell vectors:
K  0.2461  0.0000  0.2485
K  0.2500  0.5283  0.2492
K  0.7500  0.0283  0.7508
K  0.7539  0.5000  0.7515
Co  0.2501  0.5709  0.7575
Co  0.7499  0.0709  0.2425
H  0.1524  0.9025  0.7088
H  0.1716  0.2388  0.8043
H  0.3161  0.9076  0.8111
H  0.3317  0.2377  0.7015
H  0.6683  0.7377  0.2985
H  0.6839  0.4076  0.1889
H  0.8284  0.7388  0.1957
H  0.8476  0.4025  0.2912
I  0.0018  0.7548  0.5080
I  0.0131  0.7570  0.9741
I  0.4915  0.7488  0.5267
I  0.4960  0.2579  0.0085
I  0.5040  0.7579  0.9915
I  0.5085  0.2488  0.4733
I  0.9869  0.2570  0.0259
I  0.9982  0.2548  0.4920
O  0.0306  0.9529  0.6054
O  0.0327  0.1504  0.8816
O  0.0529  0.5911  0.6266
O  0.0763  0.5496  0.8943
O  0.2006  0.2634  0.0914
O  0.2050  0.7656  0.4312
O  0.2195  0.8380  0.7744
O  0.2579  0.3097  0.7569
O  0.2949  0.2610  0.4089
O  0.2994  0.7666  0.0666
O  0.4250  0.5498  0.6120
O  0.4574  0.5953  0.8699
O  0.4626  0.1400  0.6162
O  0.4742  0.9563  0.8945
O  0.5258  0.4563  0.1055
O  0.5374  0.6400  0.3838
O  0.5426  0.0953  0.1301
O  0.5750  0.0498  0.3880
O  0.7006  0.2666  0.9334
O  0.7051  0.7610  0.5911
O  0.7421  0.8097  0.2431
O  0.7805  0.3380  0.2256
O  0.7950  0.2656  0.5688
O  0.7994  0.7634  0.9086
O  0.9237  0.0496  0.1057
O  0.9471  0.0911  0.3734
O  0.9673  0.6504  0.1184
O  0.9694  0.4529  0.3946

Values from the calculation:
Space-group type   No. 4
Crystal system   monoclinic
Uncorrected energy   -304.3 eV/f.u.
D(E_F)   0.000 states/eV/f.u.



Entry 10:
Computed, not measured: a PBEsol-optimized structure of KNiO2F at the meta-GGA SCAN level of DFT.

abc: 4.4801 4.4801 4.4906
angles: 90.00 90.00 90.00
Sites, in units of the cell vectors:
K  0.0000  0.0000  0.0000
Ni  0.5000  0.5000  0.5000
O  0.0000  0.5000  0.0000
O  0.5000  0.0000  0.0000
F  0.0000  0.0000  0.5000

Values from the calculation:
Space-group type   No. 123
Crystal system   tetragonal
E_form (uncorrected)   526.2 meV per atom
D(E_F)   2.659 states/eV/f.u.



Entry 11:
Computed, not measured: a PBEsol-optimized structure of LiScSe at the meta-GGA SCAN level of DFT.

abc: 3.9594 3.9594 3.5758
angles: 90.00 90.00 120.00
Sites, in units of the cell vectors:
Li  0.0000  0.0000  0.0000
Sc  0.3333  0.6667  0.5000
Se  0.6667  0.3333  0.0000

Values from the calculation:
Space-group type   No. 187
Crystal system   hexagonal
E_form (uncorrected)   -1053.1 meV per atom
D(E_F)   0.269 states/eV/f.u.



Entry 12:
Computed, not measured: a PBEsol-optimized structure of PmCd3 at the meta-GGA SCAN level of DFT.

abc: 7.1245 7.1245 7.1245
angles: 90.00 90.00 90.00
Sites, in units of the cell vectors:
Pm  0.0000  0.0000  0.0000
Pm  0.0000  0.5000  0.5000
Pm  0.5000  0.0000  0.5000
Pm  0.5000  0.5000  0.0000
Cd  0.0000  0.0000  0.5000
Cd  0.0000  0.5000  0.0000
Cd  0.2500  0.2500  0.2500
Cd  0.2500  0.2500  0.7500
Cd  0.2500  0.7500  0.2500
Cd  0.2500  0.7500  0.7500
Cd  0.5000  0.0000  0.0000
Cd  0.5000  0.5000  0.5000
Cd  0.7500  0.2500  0.2500
Cd  0.7500  0.2500  0.7500
Cd  0.7500  0.7500  0.2500
Cd  0.7500  0.7500  0.7500

Values from the calculation:
Space-group type   No. 225
Crystal system   cubic
Formation energy from the elements   -379 meV/atom
D(E_F)   1.203 states/eV/f.u.



Number 1: total magnetic moment 0.00 μB/cell. Number 2: total magnetic moment 0.00 μB/cell. Number 3: total magnetic moment 0.00 μB/cell. Number 4: total magnetic moment 0.00 μB/cell. Number 5: total magnetic moment 7.35 μB/cell. Number 6: total magnetic moment 0.00 μB/cell. Number 7: total magnetic moment 0.00 μB/cell. Number 8: total magnetic moment 0.01 μB/cell. Number 9: total magnetic moment 6.00 μB/cell. Number 10: total magnetic moment 4.01 μB/cell. Number 11: total magnetic moment 0.00 μB/cell. Number 12: total magnetic moment 0.00 μB/cell.